Record 1
Computed, not measured: a relaxed structure of SrOsIN2 at the GGA-PBE level of DFT.

Space-group type = P4/mmm
ΔE_f (raw) = 404 meV per atom
Density = 7.58 g/cm³
E above lowest polymorph = 0.000 eV/atom

Cell lengths 4.091, 4.091, 5.669 Å; angles 90.00, 90.00, 90.00 degrees
Sites, in units of the cell vectors:
N 0.500 0.000 0.000
Sr 0.500 0.500 0.500
Os 0.000 0.000 0.000
I 0.000 0.000 0.500
N 0.000 0.500 0.000

Record 2
Computed, not measured: a relaxed structure of SrOsIN2 at the GGA-PBE level of DFT.

Space-group type = P4/mmm
ΔE_f (raw) = 2385 meV per atom
Density = 4.75 g/cm³
E above lowest polymorph = 1.981 eV/atom

Cell lengths 4.762, 4.762, 6.671 Å; angles 90.00, 90.00, 90.00 degrees
Sites, in units of the cell vectors:
N 0.000 0.500 0.000
Os 0.500 0.500 0.500
I 0.000 0.000 0.500
N 0.500 0.000 0.000
Sr 0.000 0.000 0.000